Density functional theory data (GGA-PBE) for a relaxed La5TbSmTm2 crystal.

```
La5TbSmTm2
1.0
-2.936 -3.050 3.495
0.746 -6.338 -9.215
8.991 -4.375 3.736
La Tm Sm Tb
10 4 2 2
Direct
0.280 0.559 0.697
0.623 0.246 0.508
0.280 0.560 0.319
0.500 0.000 0.758
0.000 0.001 0.508
0.377 0.754 0.008
0.720 0.441 0.197
0.000 0.999 0.008
0.720 0.440 0.819
0.500 0.000 0.258
0.113 0.226 0.761
0.113 0.226 0.256
0.887 0.774 0.756
0.887 0.774 0.261
0.786 0.572 0.508
0.214 0.428 0.008
0.400 0.800 0.508
0.600 0.200 0.008
```

Results
Spin magnetization, μB/atom: 0.000
N(E_F), states/eV/cell: 27.492
V, Å³ per cell: 637
Symmetry: Cmcm
E_tot, eV per cell: -83.54